Run one
NiRhW2: relaxed, PBEsol.

Summary:
Volume ... 55.0 Å³/cell
N(E_F) ... 2.6 states/eV/cell

The structure in CIF format:
```
data_NiRhW2
_chemical_formula_sum 'Ni1 Rh1 W2'
_space_group_name_H-M_alt 'P 4/m m m'
_space_group_IT_number 123
_space_group_name_Hall '-P 4 2'
_cell_length_a 3.777
_cell_length_b 3.777
_cell_length_c 3.858
_cell_angle_alpha 90.00
_cell_angle_beta 90.00
_cell_angle_gamma 90.00
loop_
_atom_site_label
_atom_site_type_symbol
_atom_site_fract_x
_atom_site_fract_y
_atom_site_fract_z
_atom_site_occupancy
Ni1 Ni 0.000 0.000 0.000 1
Rh1 Rh 0.500 0.500 0.000 1
W1 W 0.000 0.500 0.500 1
```

***

Run two
NiRhW2: relaxed, PBEsol.

Summary:
Volume ... 55.0 Å³/cell
N(E_F) ... 2.5 states/eV/cell

The structure in CIF format:
```
data_NiRhW2
_chemical_formula_sum 'Ni1 Rh1 W2'
_space_group_name_H-M_alt 'P m m 2'
_space_group_IT_number 25
_space_group_name_Hall 'P 2 -2'
_cell_length_a 2.695
_cell_length_b 4.322
_cell_length_c 4.723
_cell_angle_alpha 90.00
_cell_angle_beta 90.00
_cell_angle_gamma 90.00
loop_
_atom_site_label
_atom_site_type_symbol
_atom_site_fract_x
_atom_site_fract_y
_atom_site_fract_z
_atom_site_occupancy
Ni1 Ni 0.000 0.000 0.000 1
Rh1 Rh 0.000 0.500 0.666 1
W1 W 0.500 0.000 0.495 1
W2 W 0.500 0.500 0.149 1
```

***

Run three
NiRhW2: relaxed, PBEsol.

Summary:
Volume ... 168.0 Å³/cell
N(E_F) ... 9.7 states/eV/cell

The structure in CIF format:
```
data_NiRhW2
_chemical_formula_sum 'Ni3 Rh3 W6'
_space_group_name_H-M_alt 'R -3 m'
_space_group_IT_number 166
_space_group_name_Hall '-R 3 2"'
_cell_length_a 2.7136
_cell_length_b 2.7136
_cell_length_c 26.3402
_cell_angle_alpha 90.00
_cell_angle_beta 90.00
_cell_angle_gamma 120.00
loop_
_atom_site_label
_atom_site_type_symbol
_atom_site_fract_x
_atom_site_fract_y
_atom_site_fract_z
_atom_site_occupancy
Ni1 Ni 0.0000 0.0000 0.0000 1
Rh1 Rh 0.0000 0.0000 0.5000 1
W1 W 0.0000 0.0000 0.2523 1
```

***

Most stable = run two

***

Run one
NiRhW2: relaxed, PBEsol.

Summary:
Volume ... 169.5 Å³/cell
N(E_F) ... 10.6 states/eV/cell

The structure in CIF format:
```
data_NiRhW2
_chemical_formula_sum 'Ni3 Rh3 W6'
_space_group_name_H-M_alt 'R 3 m'
_space_group_IT_number 160
_space_group_name_Hall 'R 3 -2"'
_cell_length_a 2.7210
_cell_length_b 2.7210
_cell_length_c 26.4324
_cell_angle_alpha 90.00
_cell_angle_beta 90.00
_cell_angle_gamma 120.00
loop_
_atom_site_label
_atom_site_type_symbol
_atom_site_fract_x
_atom_site_fract_y
_atom_site_fract_z
_atom_site_occupancy
Ni1 Ni 0.0000 0.0000 0.0000 1
Rh1 Rh 0.0000 0.0000 0.7474 1
W1 W 0.0000 0.0000 0.2558 1
W2 W 0.0000 0.0000 0.4953 1
```

***

Run two
NiRhW2: relaxed, PBEsol.

Summary:
Volume ... 55.0 Å³/cell
N(E_F) ... 3.3 states/eV/cell

The structure in CIF format:
```
data_NiRhW2
_chemical_formula_sum 'Ni1 Rh1 W2'
_space_group_name_H-M_alt 'P m m m'
_space_group_IT_number 47
_space_group_name_Hall '-P 2 2'
_cell_length_a 2.689
_cell_length_b 3.843
_cell_length_c 5.326
_cell_angle_alpha 90.00
_cell_angle_beta 90.00
_cell_angle_gamma 90.00
loop_
_atom_site_label
_atom_site_type_symbol
_atom_site_fract_x
_atom_site_fract_y
_atom_site_fract_z
_atom_site_occupancy
Ni1 Ni 0.000 0.000 0.000 1
Rh1 Rh 0.000 0.000 0.500 1
W1 W 0.500 0.500 0.245 1
```

***

Most stable = run two

***

Run one
NiRh2W: relaxed, PBEsol.

Summary:
Volume ... 105.8 Å³/cell
N(E_F) ... 8.3 states/eV/cell

The structure in CIF format:
```
data_NiRh2W
_chemical_formula_sum 'Ni2 Rh4 W2'
_space_group_name_H-M_alt 'I 4/m m m'
_space_group_IT_number 139
_space_group_name_Hall '-I 4 2'
_cell_length_a 3.791
_cell_length_b 3.791
_cell_length_c 7.359
_cell_angle_alpha 90.00
_cell_angle_beta 90.00
_cell_angle_gamma 90.00
loop_
_atom_site_label
_atom_site_type_symbol
_atom_site_fract_x
_atom_site_fract_y
_atom_site_fract_z
_atom_site_occupancy
Ni1 Ni 0.000 0.000 0.000 1
Rh1 Rh 0.000 0.500 0.250 1
W1 W 0.000 0.000 0.500 1
```

***

Run two
NiRh2W: relaxed, PBEsol.

Summary:
Volume ... 53.1 Å³/cell
N(E_F) ... 4.0 states/eV/cell

The structure in CIF format:
```
data_NiRh2W
_chemical_formula_sum 'Ni1 Rh2 W1'
_space_group_name_H-M_alt 'P m m m'
_space_group_IT_number 47
_space_group_name_Hall '-P 2 2'
_cell_length_a 2.702
_cell_length_b 3.673
_cell_length_c 5.355
_cell_angle_alpha 90.00
_cell_angle_beta 90.00
_cell_angle_gamma 90.00
loop_
_atom_site_label
_atom_site_type_symbol
_atom_site_fract_x
_atom_site_fract_y
_atom_site_fract_z
_atom_site_occupancy
Ni1 Ni 0.000 0.000 0.000 1
Rh1 Rh 0.500 0.500 0.240 1
W1 W 0.000 0.000 0.500 1
```

***

Most stable = run one

***

Run one
TcNi2Ru: relaxed, PBEsol.

Summary:
Volume ... 95.8 Å³/cell
N(E_F) ... 9.7 states/eV/cell

The structure in CIF format:
```
data_TcNi2Ru
_chemical_formula_sum 'Tc2 Ni4 Ru2'
_space_group_name_H-M_alt 'A m m 2'
_space_group_IT_number 38
_space_group_name_Hall 'A 2 -2'
_cell_length_a 3.973
_cell_length_b 2.542
_cell_length_c 9.486
_cell_angle_alpha 90.00
_cell_angle_beta 90.00
_cell_angle_gamma 90.00
loop_
_atom_site_label
_atom_site_type_symbol
_atom_site_fract_x
_atom_site_fract_y
_atom_site_fract_z
_atom_site_occupancy
Tc1 Tc 0.000 0.000 0.000 1
Ni1 Ni 0.000 0.000 0.260 1
Ni2 Ni 0.500 0.000 0.389 1
Ru1 Ru 0.500 0.000 0.649 1
```

***

Run two
TcNi2Ru: relaxed, PBEsol.

Summary:
Volume ... 96.4 Å³/cell
N(E_F) ... 9.6 states/eV/cell

The structure in CIF format:
```
data_TcNi2Ru
_chemical_formula_sum 'Tc2 Ni4 Ru2'
_space_group_name_H-M_alt 'C 1 m 1'
_space_group_IT_number 8
_space_group_name_Hall 'C -2y'
_cell_length_a 8.557
_cell_length_b 2.584
_cell_length_c 4.428
_cell_angle_alpha 90.00
_cell_angle_beta 100.13
_cell_angle_gamma 90.00
loop_
_atom_site_label
_atom_site_type_symbol
_atom_site_fract_x
_atom_site_fract_y
_atom_site_fract_z
_atom_site_occupancy
Tc1 Tc 0.000 0.000 0.000 1
Ni1 Ni 0.249 0.500 0.262 1
Ni2 Ni 0.496 0.000 0.489 1
Ru1 Ru 0.244 0.000 0.753 1
```

***

Run three
TcNi2Ru: relaxed, PBEsol.

Summary:
Volume ... 96.0 Å³/cell
N(E_F) ... 9.4 states/eV/cell

The structure in CIF format:
```
data_TcNi2Ru
_chemical_formula_sum 'Tc2 Ni4 Ru2'
_space_group_name_H-M_alt 'I -4 m 2'
_space_group_IT_number 119
_space_group_name_Hall 'I -4 -2'
_cell_length_a 3.626
_cell_length_b 3.626
_cell_length_c 7.305
_cell_angle_alpha 90.00
_cell_angle_beta 90.00
_cell_angle_gamma 90.00
loop_
_atom_site_label
_atom_site_type_symbol
_atom_site_fract_x
_atom_site_fract_y
_atom_site_fract_z
_atom_site_occupancy
Tc1 Tc 0.000 0.000 0.000 1
Ni1 Ni 0.000 0.000 0.500 1
Ni2 Ni 0.000 0.500 0.250 1
Ru1 Ru 0.000 0.500 0.750 1
```

***

Run four
TcNi2Ru: relaxed, PBEsol.

Summary:
Volume ... 48.3 Å³/cell
N(E_F) ... 5.1 states/eV/cell

The structure in CIF format:
```
data_TcNi2Ru
_chemical_formula_sum 'Tc1 Ni2 Ru1'
_space_group_name_H-M_alt 'P m m 2'
_space_group_IT_number 25
_space_group_name_Hall 'P 2 -2'
_cell_length_a 2.627
_cell_length_b 3.605
_cell_length_c 5.102
_cell_angle_alpha 90.00
_cell_angle_beta 90.00
_cell_angle_gamma 90.00
loop_
_atom_site_label
_atom_site_type_symbol
_atom_site_fract_x
_atom_site_fract_y
_atom_site_fract_z
_atom_site_occupancy
Tc1 Tc 0.000 0.000 0.000 1
Ni1 Ni 0.000 0.000 0.483 1
Ni2 Ni 0.500 0.500 0.258 1
Ru1 Ru 0.500 0.500 0.745 1
```

***

Most stable = run three

***

Run one
TlNiRu2: relaxed, PBEsol.

Summary:
Volume ... 117.8 Å³/cell
N(E_F) ... 7.6 states/eV/cell

The structure in CIF format:
```
data_TlNiRu2
_chemical_formula_sum 'Tl2 Ni2 Ru4'
_space_group_name_H-M_alt 'C 1 m 1'
_space_group_IT_number 8
_space_group_name_Hall 'C -2y'
_cell_length_a 8.765
_cell_length_b 2.848
_cell_length_c 4.789
_cell_angle_alpha 90.00
_cell_angle_beta 99.91
_cell_angle_gamma 90.00
loop_
_atom_site_label
_atom_site_type_symbol
_atom_site_fract_x
_atom_site_fract_y
_atom_site_fract_z
_atom_site_occupancy
Tl1 Tl 0.000 0.000 0.000 1
Ni1 Ni 0.247 0.000 0.758 1
Ru1 Ru 0.002 0.500 0.503 1
Ru2 Ru 0.259 0.500 0.324 1
```

***

Run two
TlNiRu2: relaxed, PBEsol.

Summary:
Volume ... 58.5 Å³/cell
N(E_F) ... 4.6 states/eV/cell

The structure in CIF format:
```
data_TlNiRu2
_chemical_formula_sum 'Tl1 Ni1 Ru2'
_space_group_name_H-M_alt 'P 4/m m m'
_space_group_IT_number 123
_space_group_name_Hall '-P 4 2'
_cell_length_a 2.979
_cell_length_b 2.979
_cell_length_c 6.593
_cell_angle_alpha 90.00
_cell_angle_beta 90.00
_cell_angle_gamma 90.00
loop_
_atom_site_label
_atom_site_type_symbol
_atom_site_fract_x
_atom_site_fract_y
_atom_site_fract_z
_atom_site_occupancy
Tl1 Tl 0.000 0.000 0.000 1
Ni1 Ni 0.000 0.000 0.500 1
Ru1 Ru 0.500 0.500 0.298 1
```

***

Most stable = run one

***

Run one
TlNiRu: relaxed, PBEsol.

Summary:
Volume ... 46.4 Å³/cell
N(E_F) ... 3.5 states/eV/cell

The structure in CIF format:
```
data_TlNiRu
_chemical_formula_sum 'Tl1 Ni1 Ru1'
_space_group_name_H-M_alt 'P 3 m 1'
_space_group_IT_number 156
_space_group_name_Hall 'P 3 -2"'
_cell_length_a 2.9058
_cell_length_b 2.9058
_cell_length_c 6.3400
_cell_angle_alpha 90.00
_cell_angle_beta 90.00
_cell_angle_gamma 120.00
loop_
_atom_site_label
_atom_site_type_symbol
_atom_site_fract_x
_atom_site_fract_y
_atom_site_fract_z
_atom_site_occupancy
Tl1 Tl 0.0000 0.0000 0.0000 1
Ni1 Ni 0.3333 0.6667 0.6575 1
Ru1 Ru 0.6667 0.3333 0.3685 1
```

***

Run two
TlNiRu: relaxed, PBEsol.

Summary:
Volume ... 46.4 Å³/cell
N(E_F) ... 4.4 states/eV/cell

The structure in CIF format:
```
data_TlNiRu
_chemical_formula_sum 'Tl1 Ni1 Ru1'
_space_group_name_H-M_alt 'P -6 m 2'
_space_group_IT_number 187
_space_group_name_Hall 'P -6 2'
_cell_length_a 4.1958
_cell_length_b 4.1958
_cell_length_c 3.0402
_cell_angle_alpha 90.00
_cell_angle_beta 90.00
_cell_angle_gamma 120.00
loop_
_atom_site_label
_atom_site_type_symbol
_atom_site_fract_x
_atom_site_fract_y
_atom_site_fract_z
_atom_site_occupancy
Tl1 Tl 0.0000 0.0000 0.0000 1
Ni1 Ni 0.6667 0.3333 0.5000 1
Ru1 Ru 0.3333 0.6667 0.5000 1
```

***

Most stable = run two